Record 1
A relaxed MnWSe crystal. Source: Alexandria via LeMat-Bulk, functional PBE.

Total energy: -8.023 eV/atom
Energy above the lowest structure with this stoichiometry: 0.2469 eV per atom
E_form (uncorrected): 0.513 eV per atom
Total moment: 2.3 μB per cell
Volume: 48 Å³/f.u.
Space group: No. 42

Lattice parameters (Å, degrees): 6.609 6.370 2.894 81.77 72.54 25.69
Atoms (fractional coordinates):
Mn: 0.000 0.000 0.000
W: 0.347 0.347 0.653
Se: 0.667 0.667 0.333


Record 2
A relaxed LiNiGe crystal. Source: Alexandria via LeMat-Bulk, functional PBE.

DFT formation energy: -340 meV per atom
Total energy: -4.445 eV/atom
Total moment: 0.0 μB per cell
Volume: 42 Å³/f.u.
Space group: No. 2

Lattice parameters (Å, degrees): 4.304 4.406 5.298 113.14 99.52 107.61
Atoms (fractional coordinates):
Li: 0.187 0.359 0.068
Li: 0.813 0.641 0.932
Ni: 0.212 0.277 0.514
Ni: 0.788 0.723 0.486
Ge: 0.388 0.905 0.707
Ge: 0.612 0.095 0.293


Record 3
A relaxed SrY2Rh crystal. Source: Alexandria via LeMat-Bulk, functional PBE.

DFT formation energy: -132 meV per atom
Total energy: -5.622 eV/atom
Energy above the lowest structure with this stoichiometry: 0.2148 eV per atom
Total moment: 0.0 μB per cell
Volume: 129 Å³/f.u.
Space group: No. 122

Lattice parameters (Å, degrees): 7.058 7.058 7.058 102.83 102.83 123.76
Atoms (fractional coordinates):
Sr: 0.000 0.000 0.000
Sr: 0.750 0.250 0.500
Y: 0.218 0.125 0.593
Y: 0.375 0.782 0.907
Y: 0.532 0.625 0.407
Y: 0.875 0.468 0.093
Rh: 0.250 0.750 0.500
Rh: 0.500 0.500 0.000


Record 4
A relaxed LaPrTeIr crystal. Source: Alexandria via LeMat-Bulk, functional PBE.

Total energy: -6.479 eV/atom
E_form (uncorrected): -1.052 eV per atom
Total moment: 0.0 μB per cell
Volume: 121 Å³/f.u.
Space group: No. 160

Lattice parameters (Å, degrees): 8.049 8.049 8.049 30.81 30.81 30.81
Atoms (fractional coordinates):
La: 0.000 0.000 0.000
Pr: 0.195 0.195 0.195
Te: 0.432 0.432 0.432
Ir: 0.598 0.598 0.598


Record 5
A relaxed Tb6Ho2Er3 crystal. Source: Alexandria via LeMat-Bulk, functional PBE.

DFT formation energy: 295 meV per atom
Total energy: -4.308 eV/atom
Energy above the lowest structure with this stoichiometry: 0.2762 eV per atom
Total moment: 0.0 μB per cell
Volume: 363 Å³/f.u.
Space group: No. 139

Lattice parameters (Å, degrees): 16.835 16.835 16.835 163.98 163.98 22.73
Atoms (fractional coordinates):
Tb: 0.121 0.621 0.500
Tb: 0.197 0.197 0.000
Tb: 0.379 0.879 0.500
Tb: 0.621 0.121 0.500
Tb: 0.803 0.803 0.000
Tb: 0.879 0.379 0.500
Ho: 0.046 0.046 0.000
Ho: 0.954 0.954 0.000
Er: 0.301 0.301 0.000
Er: 0.500 0.500 0.000
Er: 0.699 0.699 0.000


Record 6
A relaxed H2PdI crystal. Source: Alexandria via LeMat-Bulk, functional PBE.

Total energy: -3.048 eV/atom
Energy above the lowest structure with this stoichiometry: 0.0000 eV per atom
Total moment: 0.0 μB per cell
Volume: 61 Å³/f.u.
Space group: No. 122

Lattice parameters (Å, degrees): 5.566 5.566 5.566 120.04 120.04 89.93
Atoms (fractional coordinates):
H: 0.375 0.124 0.249
H: 0.874 0.625 0.749
H: 0.875 0.126 0.751
H: 0.876 0.125 0.251
Pd: 0.000 0.000 0.000
Pd: 0.750 0.250 0.500
I: 0.250 0.750 0.500
I: 0.500 0.500 0.000


Record 7
A relaxed ScHg2P crystal. Source: Alexandria via LeMat-Bulk, functional PBE.

DFT formation energy: -430 meV per atom
Total energy: -3.516 eV/atom
Total moment: 0.0 μB per cell
Volume: 110 Å³/f.u.
Space group: No. 99

Lattice parameters (Å, degrees): 3.598 3.598 8.465 90.00 90.00 90.00
Atoms (fractional coordinates):
Sc: 0.000 0.000 0.000
Hg: 0.000 0.000 0.651
Hg: 0.500 0.500 0.388
P: 0.500 0.500 0.025


Record 8
A relaxed BaHgTe3 crystal. Source: Alexandria via LeMat-Bulk, functional PBE.

Total energy: -2.754 eV/atom
Energy above the lowest structure with this stoichiometry: 0.2760 eV per atom
E_form (uncorrected): -0.424 eV per atom
Total moment: 0.0 μB per cell
Volume: 186 Å³/f.u.
Space group: No. 221

Lattice parameters (Å, degrees): 5.710 5.710 5.710 90.00 90.00 90.00
Atoms (fractional coordinates):
Ba: 0.000 0.000 0.000
Hg: 0.500 0.500 0.500
Te: 0.000 0.500 0.500
Te: 0.500 0.000 0.500
Te: 0.500 0.500 0.000


Record 9
A relaxed La7MnBr12 crystal. Source: Alexandria via LeMat-Bulk, functional PBE.

Total energy: -4.810 eV/atom
E_form (uncorrected): -1.623 eV per atom
Total moment: 2.4 μB per cell
Volume: 765 Å³/f.u.
Space group: No. 148

Lattice parameters (Å, degrees): 9.678 9.678 9.678 106.50 106.50 106.50
Atoms (fractional coordinates):
La: 0.000 0.000 0.000
La: 0.194 0.481 0.396
La: 0.396 0.194 0.481
La: 0.481 0.396 0.194
La: 0.519 0.604 0.806
La: 0.604 0.806 0.519
La: 0.806 0.519 0.604
Mn: 0.500 0.500 0.500
Br: 0.039 0.123 0.334
Br: 0.123 0.334 0.039
Br: 0.179 0.571 0.717
Br: 0.283 0.821 0.429
Br: 0.334 0.039 0.123
Br: 0.429 0.283 0.821
Br: 0.571 0.717 0.179
Br: 0.666 0.961 0.877
Br: 0.717 0.179 0.571
Br: 0.821 0.429 0.283
Br: 0.877 0.666 0.961
Br: 0.961 0.877 0.666


Record 10
A relaxed ZrSnB2N crystal. Source: Alexandria via LeMat-Bulk, functional PBE.

Total energy: -4.561 eV/atom
E_form (uncorrected): 2.285 eV per atom
Total moment: 2.2 μB per cell
Volume: 112 Å³/f.u.
Space group: No. 123

Lattice parameters (Å, degrees): 4.388 4.388 5.828 90.00 90.00 90.00
Atoms (fractional coordinates):
Zr: 0.000 0.000 0.000
Sn: 0.000 0.000 0.500
B: 0.000 0.500 0.000
B: 0.500 0.000 0.000
N: 0.500 0.500 0.500


Record 11
A relaxed RbGaGe crystal. Source: Alexandria via LeMat-Bulk, functional PBE.

DFT formation energy: 60 meV per atom
Total energy: -2.811 eV/atom
Total moment: 0.0 μB per cell
Volume: 132 Å³/f.u.
Space group: No. 74

Lattice parameters (Å, degrees): 7.509 7.509 7.509 137.87 91.28 103.66
Atoms (fractional coordinates):
Rb: 0.000 0.000 0.000
Rb: 0.500 0.000 0.500
Ga: 0.500 0.000 0.000
Ga: 0.500 0.500 0.500
Ge: 0.282 0.532 0.750
Ge: 0.718 0.468 0.250


Record 12
A relaxed CaLaCrIn2 crystal. Source: Alexandria via LeMat-Bulk, functional PBE.

DFT formation energy: 932 meV per atom
Total energy: -3.474 eV/atom
Total moment: 0.1 μB per cell
Volume: 145 Å³/f.u.
Space group: No. 123

Lattice parameters (Å, degrees): 5.579 5.579 4.667 90.00 90.00 90.00
Atoms (fractional coordinates):
Ca: 0.000 0.000 0.000
La: 0.500 0.500 0.500
Cr: 0.000 0.000 0.500
In: 0.000 0.500 0.000
In: 0.500 0.000 0.000


Q: What is the total moment in the eleventh record?
A: 0.0 μB per cell


Q: Which formula does entry 5 have?
A: Tb6Ho2Er3